Entry 1:
DFT (PBE-GGA) results for crystalline Pr6Sn2GeTe3 at its relaxed geometry.

The space group is C2/m (No. 12) and the conventional cell measures 19.787, 4.505 and 9.105 Å, with angles of 90.00, 103.88 and 90.00 degrees. The inequivalent atoms are Pr at (0.001, 0.000, 0.231), Pr at (0.159, 0.500, 0.084), Pr at (0.168, 0.500, 0.579), Sn at (0.166, 0.000, 0.333), Ge at (0.000, 0.500, 0.000), Te at (0.000, 0.500, 0.500) and Te at (0.168, 0.000, 0.835).

The volume comes out at 32.8 Å³ per atom. The total energy is -5.38 eV/atom. The density of states at the Fermi level comes out at 6.0 states/eV per cell. The uncorrected formation energy is -1.1532 eV/atom. The theoretical density is 6.484 Mg/m³.

=====

Entry 2:
DFT (PBE-GGA) results for crystalline SrPrGe4 at its relaxed geometry.

The space group is F-43m (No. 216) and the conventional cell measures 8.238, 8.238 and 8.238 Å, with angles of 90.00, 90.00 and 90.00 degrees. The inequivalent atoms are Sr at (0.000, 0.000, 0.000), Pr at (0.250, 0.250, 0.250) and Ge at (0.123, 0.123, 0.623).

The volume comes out at 23.3 Å³ per atom. The total energy is -4.52 eV/atom. The value obtained for the energy relative to the elements is -361 meV/atom. The density of states at the Fermi level comes out at 19.4 states/eV per cell. The theoretical density is 6.167 Mg/m³.

=====

Entry 3:
DFT (PBE-GGA) results for crystalline SrPrGe at its relaxed geometry.

The space group is C2/m (No. 12) and the conventional cell measures 11.263, 4.661 and 8.473 Å, with angles of 90.00, 119.17 and 90.00 degrees. The inequivalent atoms are Sr at (0.188, 0.000, 0.104), Pr at (0.085, 0.500, 0.365) and Ge at (0.123, 0.000, 0.637).

The volume comes out at 32.4 Å³ per atom. The total energy is -4.13 eV/atom. The value obtained for the energy relative to the elements is -433 meV/atom. The density of states at the Fermi level comes out at 11.9 states/eV per cell. The theoretical density is 5.151 Mg/m³.

=====

Entry 4:
DFT (PBE-GGA) results for crystalline SrPr4Ge4 at its relaxed geometry.

The space group is P4_2/n (No. 86, origin choice 2) and the conventional cell measures 9.879, 9.879 and 6.065 Å, with angles of 90.00, 90.00 and 90.00 degrees. The inequivalent atoms are Sr at (0.250, 0.250, 0.250), Pr at (0.108, 0.634, 0.131) and Ge at (0.055, 0.585, 0.640).

The volume comes out at 32.9 Å³ per atom. The total energy is -4.93 eV/atom. The value obtained for the energy relative to the elements is -563 meV/atom. The density of states at the Fermi level comes out at 10.1 states/eV per cell. The theoretical density is 5.284 Mg/m³.

=====

Entry 5:
DFT (PBE-GGA) results for crystalline SrPrGe at its relaxed geometry.

The space group is F-43m (No. 216) and the conventional cell measures 7.408, 7.408 and 7.408 Å, with angles of 90.00, 90.00 and 90.00 degrees. The inequivalent atoms are Sr at (0.000, 0.000, 0.000), Pr at (0.000, 0.000, 0.500) and Ge at (0.250, 0.250, 0.750).

The volume comes out at 33.9 Å³ per atom. The total energy is -4.13 eV/atom. The value obtained for the energy relative to the elements is -438 meV/atom. The density of states at the Fermi level comes out at 10.1 states/eV per cell. The theoretical density is 4.921 Mg/m³.

=====

Entry 6:
DFT (PBE-GGA) results for crystalline SrPrGe3 at its relaxed geometry.

The space group is Cmcm (No. 63) and the conventional cell measures 4.596, 27.216 and 4.188 Å, with angles of 90.00, 90.00 and 90.00 degrees. The inequivalent atoms are Sr at (0.000, 0.074, 0.250), Pr at (0.000, 0.202, 0.750), Ge at (0.000, 0.315, 0.750), Ge at (0.000, 0.375, 0.250) and Ge at (0.000, 0.474, 0.250).

The volume comes out at 26.2 Å³ per atom. The total energy is -4.68 eV/atom. The value obtained for the energy relative to the elements is -614 meV/atom. The density of states at the Fermi level comes out at 9.0 states/eV per cell. The theoretical density is 5.661 Mg/m³.

=====

Entry 7:
DFT (PBE-GGA) results for crystalline Sr3Pr3Ge4 at its relaxed geometry.

The space group is Amm2 (No. 38) and the conventional cell measures 4.533, 11.323 and 11.530 Å, with angles of 90.00, 90.00 and 90.00 degrees. The inequivalent atoms are Sr at (0.000, 0.000, 0.000), Sr at (0.500, 0.247, 0.075), Pr at (0.000, 0.000, 0.652), Pr at (0.000, 0.174, 0.328), Ge at (0.500, 0.000, 0.222), Ge at (0.500, 0.000, 0.445) and Ge at (0.500, 0.116, 0.818).

The volume comes out at 29.6 Å³ per atom. The total energy is -4.40 eV/atom. The value obtained for the energy relative to the elements is -612 meV/atom. The density of states at the Fermi level comes out at 16.7 states/eV per cell. The theoretical density is 5.478 Mg/m³.

=====

Entry 8:
DFT (PBE-GGA) results for crystalline SrPr2Ge6 at its relaxed geometry.

The space group is P6/mmm (No. 191) and the conventional cell measures 7.7534, 7.7534 and 4.2137 Å, with angles of 90.00, 90.00 and 120.00 degrees. The inequivalent atoms are Sr at (0.0000, 0.0000, 0.0000), Pr at (0.3333, 0.6667, 0.0000) and Ge at (0.0000, 0.3368, 0.5000).

The volume comes out at 24.4 Å³ per atom. The total energy is -4.87 eV/atom. The value obtained for the energy relative to the elements is -541 meV/atom. The density of states at the Fermi level comes out at 3.3 states/eV per cell. The theoretical density is 6.096 Mg/m³.

=====

Which formula does entry 5 have? SrPrGe

=====

Number 8 is which compound? SrPr2Ge6

=====

Number 6 is which compound? SrPrGe3

=====

theoretical density of number 5 (SrPrGe)? 4.921 Mg/m³